1.
## LiGaBiPd (PBE)

Data for a geometry-optimized LiGaBiPd structure.

The crystal system is cubic. For the energy of formation, the calculation gives -310 meV per atom.

abc: 4.748 4.748 4.748
angles: 60.00 60.00 60.00
Positions (direct):
Li (0.500, 0.500, 0.500)
Bi (0.750, 0.750, 0.750)
Ga (0.250, 0.250, 0.250)
Pd (0.000, 0.000, 0.000)

---

2.
## Na2Tl2P (PBE)

Data for a geometry-optimized Na2Tl2P structure.

The crystal system is tetragonal. For the energy of formation, the calculation gives 20 meV per atom.

abc: 7.505 7.505 4.932
angles: 90.00 90.00 90.00
Positions (direct):
Na (0.170, 0.670, 0.500)
Na (0.670, 0.830, 0.500)
P (0.000, 0.000, 0.000)
Tl (0.855, 0.645, 0.000)
Tl (0.645, 0.145, 0.000)
Tl (0.355, 0.855, 0.000)
P (0.500, 0.500, 0.000)
Na (0.330, 0.170, 0.500)
Na (0.830, 0.330, 0.500)
Tl (0.145, 0.355, 0.000)

---

| no. | density of states at the Fermi level (states/eV/f.u.) | electronic total energy (eV/atom) | volume (Å³ per atom) |
| --- | --- | --- | --- |
| 1 | 3.451 | -3.81 | 18.93 |
| 2 | 1.683 | -2.54 | 27.78 |